Arrangement a

# LiGa3Ag

A relaxed structure of LiGa3Ag (PBE, Alexandria).

Structure (POSCAR):
```
LiGa3Ag
1.0
6.1662 0.0000 0.0000
0.0000 5.4959 0.0000
-2.1234 0.0000 5.8330
Li Ga Ag
2 6 2
Direct
0.2305 0.2500 0.2709 Li
0.7695 0.7500 0.7291 Li
0.3074 0.0000 0.8060 Ga
0.3074 0.5000 0.8060 Ga
0.3171 0.7500 0.1768 Ga
0.6829 0.2500 0.8232 Ga
0.6926 0.0000 0.1940 Ga
0.6926 0.5000 0.1940 Ga
0.0700 0.7500 0.4312 Ag
0.9300 0.2500 0.5688 Ag
```

Values from the calculation:
SG ... P2_1/m, No. 11
Magnetization ... 0.00 μB/cell
Calculated volume ... 19.77 Å³/atom
Crystal system ... monoclinic


Arrangement b

# LiGa3Ag

A relaxed structure of LiGa3Ag (PBE, Alexandria).

Structure (POSCAR):
```
LiGa3Ag
1.0
5.0253 0.0000 0.0000
0.0000 5.0253 0.0000
0.0000 0.0000 5.0253
Li Ga Ag
1 3 1
Direct
0.0000 0.0000 0.0000 Li
0.0000 0.5000 0.5000 Ga
0.5000 0.0000 0.5000 Ga
0.5000 0.5000 0.0000 Ga
0.5000 0.5000 0.5000 Ag
```

Values from the calculation:
SG ... Pm-3m, No. 221
Magnetization ... 0.00 μB/cell
Calculated volume ... 25.38 Å³/atom
Crystal system ... cubic


Arrangement c

# LiGa3Ag

A relaxed structure of LiGa3Ag (PBE, Alexandria).

Structure (POSCAR):
```
LiGa3Ag
1.0
3.5283 2.0371 2.5038
-3.5283 2.0371 2.5038
0.0000 -4.0742 2.5038
Li Ga Ag
1 3 1
Direct
0.0000 0.0000 0.0000 Li
0.5436 0.5436 0.9245 Ga
0.5436 0.9245 0.5436 Ga
0.9245 0.5436 0.5436 Ga
0.3493 0.3493 0.3493 Ag
```

Values from the calculation:
SG ... R3m, No. 160
Magnetization ... 0.00 μB/cell
Calculated volume ... 21.60 Å³/atom
Crystal system ... trigonal


Which of them is least stable? Easy: arrangement b.


Arrangement a

# Li4GaAg7

A relaxed structure of Li4GaAg7 (PBE, Alexandria).

Structure (POSCAR):
```
Li4GaAg7
1.0
5.1135 0.0000 0.0000
0.3509 5.6043 0.0000
2.2725 2.0898 6.9804
Li Ga Ag
4 1 7
Direct
0.1659 0.1725 0.3363 Li
0.3271 0.5743 0.6698 Li
0.6729 0.4257 0.3302 Li
0.8341 0.8275 0.6637 Li
0.5000 0.0000 0.0000 Ga
0.0163 0.2493 0.0039 Ag
0.1641 0.6756 0.3350 Ag
0.3511 0.0801 0.6599 Ag
0.5000 0.5000 0.0000 Ag
0.6489 0.9199 0.3401 Ag
0.8359 0.3244 0.6650 Ag
0.9837 0.7507 0.9961 Ag
```

Values from the calculation:
SG ... P-1, No. 2
Magnetization ... 0.00 μB/cell
Calculated volume ... 16.67 Å³/atom
Crystal system ... triclinic


Arrangement b

# Li4GaAg7

A relaxed structure of Li4GaAg7 (PBE, Alexandria).

Structure (POSCAR):
```
Li4GaAg7
1.0
5.0252 -2.4599 0.0000
5.0252 2.4599 0.0000
-4.9397 0.0000 9.0824
Li Ga Ag
4 1 7
Direct
0.1162 0.1162 0.2776 Li
0.2190 0.2190 0.8065 Li
0.7810 0.7810 0.1935 Li
0.8838 0.8838 0.7224 Li
0.5000 0.5000 0.5000 Ga
0.0000 0.0000 0.5000 Ag
0.1532 0.1532 0.0301 Ag
0.3029 0.3029 0.5868 Ag
0.4662 0.4662 0.1208 Ag
0.5338 0.5338 0.8792 Ag
0.6971 0.6971 0.4132 Ag
0.8468 0.8468 0.9699 Ag
```

Values from the calculation:
SG ... C2/m, No. 12
Magnetization ... 0.00 μB/cell
Calculated volume ... 18.71 Å³/atom
Crystal system ... monoclinic


Which of them is least stable? Easy: arrangement b.


Arrangement a

# Li3GaAg5

A relaxed structure of Li3GaAg5 (PBE, Alexandria).

Structure (POSCAR):
```
Li3GaAg5
1.0
7.8948 0.0000 0.0000
-3.9474 6.8371 0.0000
0.0000 0.0000 5.4652
Li Ga Ag
6 2 10
Direct
0.0000 0.3506 0.2500 Li
0.0000 0.6494 0.7500 Li
0.3506 0.0000 0.2500 Li
0.3506 0.3506 0.7500 Li
0.6494 0.0000 0.7500 Li
0.6494 0.6494 0.2500 Li
0.0000 0.0000 0.0000 Ga
0.0000 0.0000 0.5000 Ga
0.0000 0.3156 0.7500 Ag
0.0000 0.6844 0.2500 Ag
0.3156 0.0000 0.7500 Ag
0.3156 0.3156 0.2500 Ag
0.3333 0.6667 0.0000 Ag
0.3333 0.6667 0.5000 Ag
0.6667 0.3333 0.0000 Ag
0.6667 0.3333 0.5000 Ag
0.6844 0.0000 0.2500 Ag
0.6844 0.6844 0.7500 Ag
```

Values from the calculation:
SG ... P6_3/mcm, No. 193
Magnetization ... 0.00 μB/cell
Calculated volume ... 16.39 Å³/atom
Crystal system ... hexagonal


Arrangement b

# Li3GaAg5

A relaxed structure of Li3GaAg5 (PBE, Alexandria).

Structure (POSCAR):
```
Li3GaAg5
1.0
-3.5224 3.5224 6.1414
3.5224 -3.5224 6.1414
3.5224 3.5224 -6.1414
Li Ga Ag
6 2 10
Direct
0.1080 0.6080 0.7159 Li
0.2500 0.2500 0.0000 Li
0.3920 0.1080 0.5000 Li
0.6080 0.8920 0.5000 Li
0.7500 0.7500 0.0000 Li
0.8920 0.3920 0.2841 Li
0.2500 0.7500 0.5000 Ga
0.7500 0.2500 0.5000 Ga
0.0000 0.0000 0.0000 Ag
0.0786 0.1550 0.5000 Ag
0.1550 0.6550 0.0764 Ag
0.3450 0.4214 0.5000 Ag
0.4214 0.9214 0.0764 Ag
0.5000 0.5000 0.0000 Ag
0.5786 0.0786 0.9236 Ag
0.6550 0.5786 0.5000 Ag
0.8450 0.3450 0.9236 Ag
0.9214 0.8450 0.5000 Ag
```

Values from the calculation:
SG ... I4/mcm, No. 140
Magnetization ... 0.00 μB/cell
Calculated volume ... 16.93 Å³/atom
Crystal system ... tetragonal


Which of them is least stable? Easy: arrangement b.


Arrangement a

# Li8Ga2Ag

A relaxed structure of Li8Ga2Ag (PBE, Alexandria).

Structure (POSCAR):
```
Li8Ga2Ag
1.0
-2.1940 3.3144 6.4736
2.1940 -3.3144 6.4736
2.1940 3.3144 -6.4736
Li Ga Ag
8 2 1
Direct
0.1279 0.3473 0.7805 Li
0.1586 0.1586 0.0000 Li
0.2987 0.0000 0.2987 Li
0.4332 0.6527 0.7805 Li
0.5668 0.3473 0.2195 Li
0.7013 0.0000 0.7013 Li
0.8414 0.8414 0.0000 Li
0.8721 0.6527 0.2195 Li
0.3034 0.8034 0.5000 Ga
0.6966 0.1966 0.5000 Ga
0.0000 0.5000 0.5000 Ag
```

Values from the calculation:
SG ... Immm, No. 71
Magnetization ... 0.00 μB/cell
Calculated volume ... 17.12 Å³/atom
Crystal system ... orthorhombic


Arrangement b

# Li8Ga2Ag

A relaxed structure of Li8Ga2Ag (PBE, Alexandria).

Structure (POSCAR):
```
Li8Ga2Ag
1.0
3.6351 -6.5759 0.0000
3.6351 6.5759 0.0000
-2.7055 0.0000 3.8902
Li Ga Ag
8 2 1
Direct
0.1002 0.3458 0.6696 Li
0.2063 0.7937 0.0000 Li
0.3458 0.1002 0.6696 Li
0.4073 0.4073 0.2045 Li
0.5927 0.5927 0.7955 Li
0.6542 0.8998 0.3304 Li
0.7937 0.2063 0.0000 Li
0.8998 0.6542 0.3304 Li
0.3107 0.6893 0.5000 Ga
0.6893 0.3107 0.5000 Ga
0.0000 0.0000 0.0000 Ag
```

Values from the calculation:
SG ... C2/m, No. 12
Magnetization ... 0.00 μB/cell
Calculated volume ... 16.91 Å³/atom
Crystal system ... monoclinic


Which of them is least stable? Easy: arrangement b.


Arrangement a

# LiGa6Ag3

A relaxed structure of LiGa6Ag3 (PBE, Alexandria).

Structure (POSCAR):
```
LiGa6Ag3
1.0
4.7597 -6.7127 0.0000
4.7597 6.7127 0.0000
0.0000 0.0000 5.8400
Li Ga Ag
2 12 6
Direct
0.1891 0.8109 0.5000 Li
0.8109 0.1891 0.0000 Li
0.1034 0.4736 0.7238 Ga
0.2155 0.2493 0.9545 Ga
0.2167 0.7833 0.9885 Ga
0.2493 0.2155 0.4545 Ga
0.4590 0.5410 0.6518 Ga
0.4736 0.1034 0.2238 Ga
0.5264 0.8966 0.7238 Ga
0.5410 0.4590 0.1518 Ga
0.7507 0.7845 0.9545 Ga
0.7833 0.2167 0.4885 Ga
0.7845 0.7507 0.4545 Ga
0.8966 0.5264 0.2238 Ga
0.0303 0.9697 0.1898 Ag
0.2044 0.4946 0.2590 Ag
0.4946 0.2044 0.7590 Ag
0.5054 0.7956 0.2590 Ag
0.7956 0.5054 0.7590 Ag
0.9697 0.0303 0.6898 Ag
```

Values from the calculation:
SG ... Cmc2_1, No. 36
Magnetization ... 0.00 μB/cell
Calculated volume ... 18.66 Å³/atom
Crystal system ... orthorhombic


Arrangement b

# LiGa6Ag3

A relaxed structure of LiGa6Ag3 (PBE, Alexandria).

Structure (POSCAR):
```
LiGa6Ag3
1.0
5.8731 3.3908 2.9617
-5.8731 3.3908 2.9617
0.0000 -6.7816 2.9617
Li Ga Ag
2 12 6
Direct
0.0000 0.0000 0.0000 Li
0.5000 0.5000 0.5000 Li
0.9997 0.3030 0.8566 Ga
0.0003 0.6970 0.1434 Ga
0.1434 0.0003 0.6970 Ga
0.2100 0.4512 0.6610 Ga
0.3030 0.8566 0.9997 Ga
0.3390 0.7900 0.5488 Ga
0.4512 0.6610 0.2100 Ga
0.5488 0.3390 0.7900 Ga
0.6610 0.2100 0.4512 Ga
0.6970 0.1434 0.0003 Ga
0.7900 0.5488 0.3390 Ga
0.8566 0.9997 0.3030 Ga
0.0975 0.3953 0.2612 Ag
0.2612 0.0975 0.3953 Ag
0.3953 0.2612 0.0975 Ag
0.6047 0.7388 0.9025 Ag
0.7388 0.9025 0.6047 Ag
0.9025 0.6047 0.7388 Ag
```

Values from the calculation:
SG ... R-3, No. 148
Magnetization ... 0.00 μB/cell
Calculated volume ... 17.69 Å³/atom
Crystal system ... trigonal


Which of them is least stable? Easy: arrangement a.


Arrangement a

# LiGa4Ag5

A relaxed structure of LiGa4Ag5 (PBE, Alexandria).

Structure (POSCAR):
```
LiGa4Ag5
1.0
5.5987 0.0000 0.0000
0.0000 9.5139 0.0000
0.0000 0.0000 7.5202
Li Ga Ag
2 8 10
Direct
0.2500 0.2500 0.0932 Li
0.7500 0.7500 0.9068 Li
0.0101 0.2500 0.4780 Ga
0.2500 0.5577 0.9838 Ga
0.2500 0.9423 0.9838 Ga
0.4899 0.2500 0.4780 Ga
0.5101 0.7500 0.5220 Ga
0.7500 0.0577 0.0162 Ga
0.7500 0.4423 0.0162 Ga
0.9899 0.7500 0.5220 Ga
0.9997 0.0046 0.3068 Ag
0.9997 0.4954 0.3068 Ag
0.0003 0.5046 0.6932 Ag
0.0003 0.9954 0.6932 Ag
0.2500 0.7500 0.2198 Ag
0.5003 0.0046 0.3068 Ag
0.5003 0.4954 0.3068 Ag
0.4997 0.5046 0.6932 Ag
0.4997 0.9954 0.6932 Ag
0.7500 0.2500 0.7802 Ag
```

Values from the calculation:
SG ... Pmmn, No. 59
Magnetization ... 0.00 μB/cell
Calculated volume ... 20.03 Å³/atom
Crystal system ... orthorhombic


Arrangement b

# LiGa4Ag5

A relaxed structure of LiGa4Ag5 (PBE, Alexandria).

Structure (POSCAR):
```
LiGa4Ag5
1.0
6.6475 -2.3801 0.0000
6.6475 2.3801 0.0000
-1.4943 0.0000 5.4442
Li Ga Ag
1 4 5
Direct
0.0000 0.0000 0.0000 Li
0.1989 0.1989 0.4067 Ga
0.4068 0.4068 0.2782 Ga
0.5932 0.5932 0.7218 Ga
0.8011 0.8011 0.5933 Ga
0.0000 0.0000 0.5000 Ag
0.1910 0.1910 0.9114 Ag
0.3935 0.3935 0.7858 Ag
0.6065 0.6065 0.2142 Ag
0.8090 0.8090 0.0886 Ag
```

Values from the calculation:
SG ... C2/m, No. 12
Magnetization ... 0.00 μB/cell
Calculated volume ... 17.23 Å³/atom
Crystal system ... monoclinic


Which of them is least stable? Easy: arrangement a.


Arrangement a

# Li2Ga3Ag3

A relaxed structure of Li2Ga3Ag3 (PBE, Alexandria).

Structure (POSCAR):
```
Li2Ga3Ag3
1.0
6.2076 -2.3244 0.0000
6.2076 2.3244 0.0000
-1.7916 0.0000 4.6286
Li Ga Ag
2 3 3
Direct
0.2493 0.2493 0.2077 Li
0.7507 0.7507 0.7923 Li
0.3704 0.3704 0.8338 Ga
0.5000 0.5000 0.5000 Ga
0.6296 0.6296 0.1662 Ga
0.0000 0.0000 0.0000 Ag
0.1324 0.1324 0.6068 Ag
0.8676 0.8676 0.3932 Ag
```

Values from the calculation:
SG ... C2/m, No. 12
Magnetization ... 0.00 μB/cell
Calculated volume ... 16.70 Å³/atom
Crystal system ... monoclinic


Arrangement b

# Li2Ga3Ag3

A relaxed structure of Li2Ga3Ag3 (PBE, Alexandria).

Structure (POSCAR):
```
Li2Ga3Ag3
1.0
3.9893 0.0000 0.0000
0.0000 4.2253 0.0000
0.0000 0.0000 7.8320
Li Ga Ag
2 3 3
Direct
0.0000 0.0000 0.2493 Li
0.0000 0.0000 0.7507 Li
0.0000 0.5000 0.0000 Ga
0.5000 0.5000 0.2471 Ga
0.5000 0.5000 0.7529 Ga
0.0000 0.5000 0.5000 Ag
0.5000 0.0000 0.0000 Ag
0.5000 0.0000 0.5000 Ag
```

Values from the calculation:
SG ... Pmmm, No. 47
Magnetization ... 0.00 μB/cell
Calculated volume ... 16.50 Å³/atom
Crystal system ... orthorhombic


Which of them is least stable? Easy: arrangement a.


Arrangement a

# Li3Ga4Ag4

A relaxed structure of Li3Ga4Ag4 (PBE, Alexandria).

Structure (POSCAR):
```
Li3Ga4Ag4
1.0
13.9413 -1.4494 0.0000
13.9413 1.4494 0.0000
-0.7412 0.0000 4.5349
Li Ga Ag
3 4 4
Direct
0.0000 0.0000 0.0000 Li
0.3526 0.3526 0.3522 Li
0.6474 0.6474 0.6478 Li
0.2344 0.2344 0.7345 Ga
0.4116 0.4116 0.9116 Ga
0.5884 0.5884 0.0884 Ga
0.7656 0.7656 0.2655 Ga
0.0570 0.0570 0.5572 Ag
0.1749 0.1749 0.1750 Ag
0.8251 0.8251 0.8250 Ag
0.9430 0.9430 0.4428 Ag
```

Values from the calculation:
SG ... C2/m, No. 12
Magnetization ... 0.00 μB/cell
Calculated volume ... 16.66 Å³/atom
Crystal system ... monoclinic


Arrangement b

# Li3Ga4Ag4

A relaxed structure of Li3Ga4Ag4 (PBE, Alexandria).

Structure (POSCAR):
```
Li3Ga4Ag4
1.0
2.8838 0.0000 0.0000
0.0062 4.5557 0.0000
0.0686 2.2157 13.8737
Li Ga Ag
3 4 4
Direct
0.0000 0.0000 0.0000 Li
0.2357 0.3571 0.2878 Li
0.7589 0.6430 0.7120 Li
0.2511 0.7323 0.5343 Ga
0.3123 0.9125 0.1781 Ga
0.6854 0.0875 0.8219 Ga
0.7435 0.2676 0.4657 Ga
0.2389 0.1746 0.6492 Ag
0.2766 0.5494 0.9004 Ag
0.7175 0.4508 0.0992 Ag
0.7566 0.8253 0.3508 Ag
```

Values from the calculation:
SG ... P1, No. 1
Magnetization ... 0.00 μB/cell
Calculated volume ... 16.57 Å³/atom
Crystal system ... triclinic


Which of them is least stable? Easy: arrangement a.


Arrangement a

# Li2Ga2Ag

A relaxed structure of Li2Ga2Ag (PBE, Alexandria).

Structure (POSCAR):
```
Li2Ga2Ag
1.0
7.0410 0.0000 0.0000
0.0000 7.0410 0.0000
0.0000 0.0000 3.2848
Li Ga Ag
4 4 2
Direct
0.1672 0.3328 0.0000 Li
0.3328 0.8328 0.0000 Li
0.6672 0.1672 0.0000 Li
0.8328 0.6672 0.0000 Li
0.1316 0.6316 0.5000 Ga
0.3684 0.1316 0.5000 Ga
0.6316 0.8684 0.5000 Ga
0.8684 0.3684 0.5000 Ga
0.0000 0.0000 0.5000 Ag
0.5000 0.5000 0.5000 Ag
```

Values from the calculation:
SG ... P4/mbm, No. 127
Magnetization ... 0.00 μB/cell
Calculated volume ... 16.28 Å³/atom
Crystal system ... tetragonal


Arrangement b

# Li2Ga2Ag

A relaxed structure of Li2Ga2Ag (PBE, Alexandria).

Structure (POSCAR):
```
Li2Ga2Ag
1.0
4.7835 -2.2242 0.0000
4.7835 2.2242 0.0000
-2.0943 0.0000 7.4031
Li Ga Ag
4 4 2
Direct
0.0533 0.5552 0.8513 Li
0.4448 0.9467 0.6487 Li
0.5552 0.0533 0.3513 Li
0.9467 0.4448 0.1487 Li
0.1460 0.6443 0.5481 Ga
0.3557 0.8540 0.9519 Ga
0.6443 0.1460 0.0481 Ga
0.8540 0.3557 0.4519 Ga
0.2492 0.7508 0.2500 Ag
0.7508 0.2492 0.7500 Ag
```

Values from the calculation:
SG ... C2/c, No. 15
Magnetization ... 0.00 μB/cell
Calculated volume ... 15.75 Å³/atom
Crystal system ... monoclinic


Which of them is least stable? Easy: arrangement a.